! Ba3Al3Au2, optimized geometry, DFT GGA-PBE; values from VASP
! Total magnetic moment = 0.0 μB per formula unit
! Electronic total energy = -3.376 eV/atom
! Energy relative to the elements = -0.432 eV/atom
&SYSTEM
  ibrav = 0, nat = 16, ntyp = 3
/
ATOMIC_SPECIES
Ba 137.33 Ba.upf
Al 26.98 Al.upf
Au 196.97 Au.upf
ATOMIC_POSITIONS crystal
Ba 0.041 0.959 0.606
Ba 0.041 0.959 0.894
Ba 0.348 0.652 0.750
Ba 0.652 0.348 0.250
Ba 0.959 0.041 0.106
Ba 0.959 0.041 0.394
Al 0.309 0.691 0.535
Al 0.309 0.691 0.965
Al 0.352 0.648 0.250
Al 0.648 0.352 0.750
Al 0.691 0.309 0.035
Al 0.691 0.309 0.465
Au 0.248 0.752 0.112
Au 0.248 0.752 0.388
Au 0.752 0.248 0.612
Au 0.752 0.248 0.888
CELL_PARAMETERS angstrom
2.270 -6.200 0.000
2.270 6.200 0.000
0.000 0.000 17.147

! Ba2AlAu5, optimized geometry, DFT GGA-PBE; values from VASP
! Total magnetic moment = 0.0 μB per formula unit
! Electronic total energy = -3.596 eV/atom
! Energy relative to the elements = -0.600 eV/atom
&SYSTEM
  ibrav = 0, nat = 8, ntyp = 3
/
ATOMIC_SPECIES
Ba 137.33 Ba.upf
Al 26.98 Al.upf
Au 196.97 Au.upf
ATOMIC_POSITIONS crystal
Ba 0.249 0.751 0.000
Ba 0.751 0.249 0.000
Al 0.438 0.438 0.373
Au 0.184 0.184 0.866
Au 0.228 0.764 0.492
Au 0.230 0.230 0.493
Au 0.764 0.228 0.492
Au 0.765 0.765 0.490
CELL_PARAMETERS angstrom
4.686 -4.687 0.000
4.686 4.687 0.000
-4.681 0.000 5.048

! BaAl4Au, optimized geometry, DFT GGA-PBE; values from VASP
! Total magnetic moment = 0.0 μB per formula unit
! Electronic total energy = -3.621 eV/atom
! Energy relative to the elements = -0.260 eV/atom
&SYSTEM
  ibrav = 0, nat = 12, ntyp = 3
/
ATOMIC_SPECIES
Ba 137.33 Ba.upf
Al 26.98 Al.upf
Au 196.97 Au.upf
ATOMIC_POSITIONS crystal
Ba 0.237 0.030 0.165
Ba 0.763 0.970 0.835
Al 0.091 0.545 0.621
Al 0.261 0.194 0.561
Al 0.333 0.770 0.719
Al 0.341 0.533 0.149
Al 0.659 0.467 0.851
Al 0.667 0.230 0.281
Al 0.739 0.806 0.439
Al 0.909 0.455 0.379
Au 0.000 0.500 0.000
Au 0.500 0.500 0.500
CELL_PARAMETERS angstrom
6.453 0.000 0.000
0.826 7.054 0.000
1.227 3.351 6.187

! Ba2AlAu2, optimized geometry, DFT GGA-PBE; values from VASP
! Total magnetic moment = 0.0 μB per formula unit
! Electronic total energy = -3.408 eV/atom
! Energy relative to the elements = -0.580 eV/atom
! ΔE to the lowest computed polymorph = 26 meV per atom
&SYSTEM
  ibrav = 0, nat = 10, ntyp = 3
/
ATOMIC_SPECIES
Ba 137.33 Ba.upf
Al 26.98 Al.upf
Au 196.97 Au.upf
ATOMIC_POSITIONS crystal
Ba 0.147 0.170 0.316
Ba 0.353 0.670 0.023
Ba 0.647 0.330 0.977
Ba 0.853 0.830 0.684
Al 0.250 0.750 0.500
Al 0.750 0.250 0.500
Au 0.100 0.694 0.795
Au 0.400 0.194 0.594
Au 0.600 0.806 0.406
Au 0.900 0.306 0.205
CELL_PARAMETERS angstrom
-3.595 6.589 3.505
3.595 -6.589 3.505
3.595 6.589 -3.505

! BaAlAu2, optimized geometry, DFT GGA-PBE; values from VASP
! Total magnetic moment = 0.0 μB per formula unit
! Electronic total energy = -3.473 eV/atom
! Energy relative to the elements = -0.418 eV/atom
&SYSTEM
  ibrav = 0, nat = 4, ntyp = 3
/
ATOMIC_SPECIES
Ba 137.33 Ba.upf
Al 26.98 Al.upf
Au 196.97 Au.upf
ATOMIC_POSITIONS crystal
Ba 0.000 0.000 0.000
Al 0.500 0.500 0.000
Au 0.314 0.814 0.500
Au 0.686 0.186 0.500
CELL_PARAMETERS angstrom
-2.241 3.064 3.923
2.241 -3.064 3.923
2.241 3.064 -3.923

! BaAlAu2, optimized geometry, DFT GGA-PBE; values from VASP
! Total magnetic moment = 0.0 μB per formula unit
! Electronic total energy = -3.645 eV/atom
! Energy relative to the elements = -0.590 eV/atom
&SYSTEM
  ibrav = 0, nat = 16, ntyp = 3
/
ATOMIC_SPECIES
Ba 137.33 Ba.upf
Al 26.98 Al.upf
Au 196.97 Au.upf
ATOMIC_POSITIONS crystal
Ba 0.018 0.250 0.148
Ba 0.482 0.750 0.648
Ba 0.518 0.250 0.352
Ba 0.982 0.750 0.852
Al 0.139 0.750 0.353
Al 0.361 0.250 0.853
Al 0.639 0.750 0.147
Al 0.861 0.250 0.647
Au 0.171 0.054 0.581
Au 0.171 0.446 0.581
Au 0.329 0.554 0.081
Au 0.329 0.946 0.081
Au 0.671 0.054 0.919
Au 0.671 0.446 0.919
Au 0.829 0.554 0.419
Au 0.829 0.946 0.419
CELL_PARAMETERS angstrom
8.270 0.000 0.000
0.000 7.169 0.000
0.000 0.000 6.694